1.
Density functional theory data (PBEsol) for Li6Ni2PC4O16 after structural relaxation.

a = 12.943 Å, b = 12.943 Å, c = 12.943 Å
α = 90.00°, β = 90.00°, γ = 90.00°
Space group Fd-3 (No. 203, origin choice 2)
Asymmetric unit:
Li1 0.078 0.375 0.375 x48
Ni1 0.000 0.000 0.500 x16
P1 0.125 0.125 0.125 x8
C1 0.030 0.030 0.720 x32
O1 0.024 0.102 0.789 x96
O2 0.056 0.056 0.056 x32

## Properties
The value obtained for the formation energy without anion corrections is -1.6342 eV per atom. For the density of states at the Fermi level, the calculation gives 128.64 states/eV/cell.

---

2.
Density functional theory data (PBEsol) for Li2NiCSO7 after structural relaxation.

a = 4.907 Å, b = 6.274 Å, c = 8.455 Å
α = 90.00°, β = 94.37°, γ = 90.00°
Space group P2_1/m (No. 11)
Asymmetric unit:
Li1 0.220 0.017 0.295 x4
Ni1 0.219 0.750 0.848 x2
C1 0.271 0.750 0.563 x2
S1 0.270 0.250 0.915 x2
O1 0.032 0.750 0.621 x2
O2 0.167 0.063 0.823 x4
O3 0.169 0.250 0.076 x2
O4 0.300 0.750 0.415 x2
O5 0.425 0.750 0.066 x2
O6 0.479 0.750 0.670 x2

## Properties
The value obtained for the formation energy without anion corrections is -1.5224 eV per atom.

---

3.
Density functional theory data (PBEsol) for Li6Ni2C4SO16 after structural relaxation.

a = 12.972 Å, b = 12.972 Å, c = 12.972 Å
α = 90.00°, β = 90.00°, γ = 90.00°
Space group Fd-3 (No. 203, origin choice 2)
Asymmetric unit:
Li1 0.093 0.375 0.375 x48
Ni1 0.000 0.000 0.500 x16
C1 0.027 0.027 0.723 x32
S1 0.125 0.125 0.125 x8
O1 0.022 0.099 0.791 x96
O2 0.059 0.059 0.059 x32

## Properties
The value obtained for the formation energy without anion corrections is -1.6013 eV per atom.

---

4.
Density functional theory data (PBEsol) for Li2SnCSO7 after structural relaxation.

a = 4.980 Å, b = 6.661 Å, c = 9.352 Å
α = 90.00°, β = 93.06°, γ = 90.00°
Space group P2_1/m (No. 11)
Asymmetric unit:
Li1 0.240 0.021 0.175 x4
Sn1 0.295 0.250 0.613 x2
C1 0.287 0.250 0.904 x2
S1 0.266 0.750 0.647 x2
O1 0.008 0.750 0.717 x2
O2 0.070 0.250 0.817 x2
O3 0.220 0.750 0.488 x2
O4 0.270 0.250 0.039 x2
O5 0.431 0.572 0.691 x4
O6 0.483 0.750 0.157 x2

## Properties
The value obtained for the formation energy without anion corrections is -1.6207 eV per atom. For the density of states at the Fermi level, the calculation gives 0.00 states/eV/cell.